No. 1
# KSrNb PBE-GGA relaxed
# Polymorph energy (0 for the lowest one), meV per atom: 466
# DFT total energy, eV per atom: -3.47
# Calculated formation energy, eV per atom: 0.81
data_KSrNb
_cell_length_a 11.6722
_cell_length_b 6.4901
_cell_length_c 6.4901
_cell_angle_alpha 122.00
_cell_angle_beta 134.78
_cell_angle_gamma 45.22
_space_group_name_H-M_alt 'P 1'
_space_group_IT_number 1
loop_
_space_group_symop_operation_xyz
'x,y,z'
loop_
_atom_site_label
_atom_site_type_symbol
_atom_site_fract_x
_atom_site_fract_y
_atom_site_fract_z
Sr1 Sr 0.2516 0.6885 0.3115
Sr2 Sr 0.7823 0.3976 0.6024
K1 K 0.3926 0.9319 0.0681
K2 K 0.9508 0.6015 0.3985
Nb1 Nb 0.4973 0.1717 0.8283
Nb2 Nb 0.7140 0.1284 0.8716

No. 2
# KSr3Nb PBE-GGA relaxed
# Polymorph energy (0 for the lowest one), meV per atom: 0
# DFT total energy, eV per atom: -2.51
# Calculated formation energy, eV per atom: 0.73
data_KSr3Nb
_cell_length_a 6.1646
_cell_length_b 6.1646
_cell_length_c 6.1646
_cell_angle_alpha 90.00
_cell_angle_beta 90.00
_cell_angle_gamma 90.00
_space_group_name_H-M_alt 'P 1'
_space_group_IT_number 1
loop_
_space_group_symop_operation_xyz
'x,y,z'
loop_
_atom_site_label
_atom_site_type_symbol
_atom_site_fract_x
_atom_site_fract_y
_atom_site_fract_z
Sr1 Sr 0.0000 0.5000 0.0000
Sr2 Sr 0.0000 0.0000 0.5000
Sr3 Sr 0.5000 0.0000 0.0000
Nb1 Nb 0.0000 0.0000 0.0000
K1 K 0.5000 0.5000 0.5000

No. 3
# KSr2Nb PBE-GGA relaxed
# Polymorph energy (0 for the lowest one), meV per atom: 211
# DFT total energy, eV per atom: -2.58
# Calculated formation energy, eV per atom: 1.05
data_KSr2Nb
_cell_length_a 9.8863
_cell_length_b 9.8863
_cell_length_c 8.0274
_cell_angle_alpha 51.99
_cell_angle_beta 51.99
_cell_angle_gamma 90.00
_space_group_name_H-M_alt 'P 1'
_space_group_IT_number 1
loop_
_space_group_symop_operation_xyz
'x,y,z'
loop_
_atom_site_label
_atom_site_type_symbol
_atom_site_fract_x
_atom_site_fract_y
_atom_site_fract_z
Sr1 Sr 0.8750 0.9215 0.7500
Sr2 Sr 0.6715 0.1250 0.2500
Sr3 Sr 0.3750 0.3285 0.7500
Sr4 Sr 0.0785 0.6250 0.2500
K1 K 0.5000 0.5000 0.0000
K2 K 0.2500 0.7500 0.5000
Nb1 Nb 0.7500 0.2500 0.5000
Nb2 Nb 0.0000 0.0000 0.0000

No. 4
# KSrNb PBE-GGA relaxed
# Polymorph energy (0 for the lowest one), meV per atom: 918
# DFT total energy, eV per atom: -3.02
# Calculated formation energy, eV per atom: 1.26
data_KSrNb
_cell_length_a 6.2374
_cell_length_b 6.2374
_cell_length_c 7.2306
_cell_angle_alpha 90.00
_cell_angle_beta 90.00
_cell_angle_gamma 120.00
_space_group_name_H-M_alt 'P 1'
_space_group_IT_number 1
loop_
_space_group_symop_operation_xyz
'x,y,z'
loop_
_atom_site_label
_atom_site_type_symbol
_atom_site_fract_x
_atom_site_fract_y
_atom_site_fract_z
Sr1 Sr 0.3333 0.6667 0.7500
Sr2 Sr 0.6667 0.3333 0.2500
K1 K 0.0000 0.0000 0.0000
K2 K 0.0000 0.0000 0.5000
Nb1 Nb 0.3333 0.6667 0.2500
Nb2 Nb 0.6667 0.3333 0.7500

No. 5
# KSrNb PBE-GGA relaxed
# Polymorph energy (0 for the lowest one), meV per atom: 336
# DFT total energy, eV per atom: -3.60
# Calculated formation energy, eV per atom: 0.68
data_KSrNb
_cell_length_a 3.5234
_cell_length_b 8.0962
_cell_length_c 9.4232
_cell_angle_alpha 75.35
_cell_angle_beta 81.18
_cell_angle_gamma 99.76
_space_group_name_H-M_alt 'P 1'
_space_group_IT_number 1
loop_
_space_group_symop_operation_xyz
'x,y,z'
loop_
_atom_site_label
_atom_site_type_symbol
_atom_site_fract_x
_atom_site_fract_y
_atom_site_fract_z
Sr1 Sr 0.8640 0.5440 0.0177
Sr2 Sr 0.2600 0.7790 0.3549
K1 K 0.1511 0.2364 0.4640
K2 K 0.9732 0.0866 0.9086
Nb1 Nb 0.4441 0.7819 0.6901
Nb2 Nb 0.6800 0.5410 0.6825

No. 6
# KSrNb PBE-GGA relaxed
# Polymorph energy (0 for the lowest one), meV per atom: 0
# DFT total energy, eV per atom: -3.94
# Calculated formation energy, eV per atom: 0.34
data_KSrNb
_cell_length_a 17.9978
_cell_length_b 3.7232
_cell_length_c 3.7232
_cell_angle_alpha 90.00
_cell_angle_beta 101.74
_cell_angle_gamma 78.26
_space_group_name_H-M_alt 'P 1'
_space_group_IT_number 1
loop_
_space_group_symop_operation_xyz
'x,y,z'
loop_
_atom_site_label
_atom_site_type_symbol
_atom_site_fract_x
_atom_site_fract_y
_atom_site_fract_z
K1 K 0.8850 0.8703 0.1297
K2 K 0.1150 0.1297 0.8703
Nb1 Nb 0.5283 0.2222 0.7778
Nb2 Nb 0.4717 0.7778 0.2222
Sr1 Sr 0.3339 0.4134 0.5866
Sr2 Sr 0.6661 0.5866 0.4134

No. 7
# K2SrNb PBE-GGA relaxed
# Polymorph energy (0 for the lowest one), meV per atom: 29
# DFT total energy, eV per atom: -2.34
# Calculated formation energy, eV per atom: 1.14
data_K2SrNb
_cell_length_a 6.3321
_cell_length_b 6.3321
_cell_length_c 6.3321
_cell_angle_alpha 60.00
_cell_angle_beta 60.00
_cell_angle_gamma 60.00
_space_group_name_H-M_alt 'P 1'
_space_group_IT_number 1
loop_
_space_group_symop_operation_xyz
'x,y,z'
loop_
_atom_site_label
_atom_site_type_symbol
_atom_site_fract_x
_atom_site_fract_y
_atom_site_fract_z
Nb1 Nb 0.5000 0.5000 0.5000
K1 K 0.7500 0.7500 0.7500
K2 K 0.2500 0.2500 0.2500
Sr1 Sr 0.0000 0.0000 0.0000

No. 8
# KSrNb PBE-GGA relaxed
# Polymorph energy (0 for the lowest one), meV per atom: 893
# DFT total energy, eV per atom: -3.05
# Calculated formation energy, eV per atom: 1.24
data_KSrNb
_cell_length_a 6.1266
_cell_length_b 6.1266
_cell_length_c 3.2777
_cell_angle_alpha 90.00
_cell_angle_beta 90.00
_cell_angle_gamma 120.00
_space_group_name_H-M_alt 'P 1'
_space_group_IT_number 1
loop_
_space_group_symop_operation_xyz
'x,y,z'
loop_
_atom_site_label
_atom_site_type_symbol
_atom_site_fract_x
_atom_site_fract_y
_atom_site_fract_z
K1 K 0.6667 0.3333 0.5000
Sr1 Sr 0.0000 0.0000 0.0000
Nb1 Nb 0.3333 0.6667 0.0000

No. 9
# KSrNb PBE-GGA relaxed
# Polymorph energy (0 for the lowest one), meV per atom: 132
# DFT total energy, eV per atom: -3.81
# Calculated formation energy, eV per atom: 0.48
data_KSrNb
_cell_length_a 6.8826
_cell_length_b 4.6983
_cell_length_c 16.8451
_cell_angle_alpha 84.03
_cell_angle_beta 80.83
_cell_angle_gamma 29.70
_space_group_name_H-M_alt 'P 1'
_space_group_IT_number 1
loop_
_space_group_symop_operation_xyz
'x,y,z'
loop_
_atom_site_label
_atom_site_type_symbol
_atom_site_fract_x
_atom_site_fract_y
_atom_site_fract_z
Sr1 Sr 0.6745 0.6568 0.5306
Sr2 Sr 0.5997 0.3577 0.8467
Nb1 Nb 0.2769 0.5966 0.6742
Nb2 Nb 0.9973 0.4179 0.7032
K1 K 0.9573 0.4575 0.0720
K2 K 0.3186 0.5560 0.3053

No. 10
# KSrNb3 PBE-GGA relaxed
# Polymorph energy (0 for the lowest one), meV per atom: 0
# DFT total energy, eV per atom: -4.12
# Calculated formation energy, eV per atom: 2.47
data_KSrNb3
_cell_length_a 4.9923
_cell_length_b 4.9923
_cell_length_c 4.9923
_cell_angle_alpha 90.00
_cell_angle_beta 90.00
_cell_angle_gamma 90.00
_space_group_name_H-M_alt 'P 1'
_space_group_IT_number 1
loop_
_space_group_symop_operation_xyz
'x,y,z'
loop_
_atom_site_label
_atom_site_type_symbol
_atom_site_fract_x
_atom_site_fract_y
_atom_site_fract_z
Nb1 Nb 0.0000 0.0000 0.5000
Nb2 Nb 0.5000 0.0000 0.0000
Nb3 Nb 0.0000 0.5000 0.0000
K1 K 0.0000 0.0000 0.0000
Sr1 Sr 0.5000 0.5000 0.5000

No. 11
# K3SrNb PBE-GGA relaxed
# Polymorph energy (0 for the lowest one), meV per atom: 0
# DFT total energy, eV per atom: -1.91
# Calculated formation energy, eV per atom: 1.09
data_K3SrNb
_cell_length_a 6.7945
_cell_length_b 6.7945
_cell_length_c 6.7945
_cell_angle_alpha 90.00
_cell_angle_beta 90.00
_cell_angle_gamma 90.00
_space_group_name_H-M_alt 'P 1'
_space_group_IT_number 1
loop_
_space_group_symop_operation_xyz
'x,y,z'
loop_
_atom_site_label
_atom_site_type_symbol
_atom_site_fract_x
_atom_site_fract_y
_atom_site_fract_z
K1 K 0.5000 0.0000 0.0000
K2 K 0.0000 0.5000 0.0000
K3 K 0.0000 0.0000 0.5000
Sr1 Sr 0.5000 0.5000 0.5000
Nb1 Nb 0.0000 0.0000 0.0000

No. 12
# KSr2Nb PBE-GGA relaxed
# Polymorph energy (0 for the lowest one), meV per atom: 0
# DFT total energy, eV per atom: -2.79
# Calculated formation energy, eV per atom: 0.84
data_KSr2Nb
_cell_length_a 6.1602
_cell_length_b 6.1602
_cell_length_c 6.1602
_cell_angle_alpha 60.00
_cell_angle_beta 60.00
_cell_angle_gamma 60.00
_space_group_name_H-M_alt 'P 1'
_space_group_IT_number 1
loop_
_space_group_symop_operation_xyz
'x,y,z'
loop_
_atom_site_label
_atom_site_type_symbol
_atom_site_fract_x
_atom_site_fract_y
_atom_site_fract_z
Sr1 Sr 0.2500 0.2500 0.2500
Sr2 Sr 0.7500 0.7500 0.7500
Nb1 Nb 0.5000 0.5000 0.5000
K1 K 0.0000 0.0000 0.0000

No. 13
# KSrNb PBE-GGA relaxed
# Polymorph energy (0 for the lowest one), meV per atom: 590
# DFT total energy, eV per atom: -3.35
# Calculated formation energy, eV per atom: 0.94
data_KSrNb
_cell_length_a 6.0942
_cell_length_b 6.0942
_cell_length_c 8.5856
_cell_angle_alpha 90.00
_cell_angle_beta 90.00
_cell_angle_gamma 120.00
_space_group_name_H-M_alt 'P 1'
_space_group_IT_number 1
loop_
_space_group_symop_operation_xyz
'x,y,z'
loop_
_atom_site_label
_atom_site_type_symbol
_atom_site_fract_x
_atom_site_fract_y
_atom_site_fract_z
Sr1 Sr 0.3333 0.6667 0.2796
Sr2 Sr 0.3333 0.6667 0.7204
Nb1 Nb 0.0000 0.0000 0.6247
Nb2 Nb 0.0000 0.0000 0.3753
K1 K 0.6667 0.3333 0.0000
K2 K 0.6667 0.3333 0.5000

No. 14
# KSrNb2Zn PBE-GGA relaxed
# DFT total energy, eV per atom: -2.85
# Calculated formation energy, eV per atom: 1.99
data_KSrNb2Zn
_cell_length_a 4.9592
_cell_length_b 5.5154
_cell_length_c 4.9592
_cell_angle_alpha 90.00
_cell_angle_beta 90.00
_cell_angle_gamma 90.00
_space_group_name_H-M_alt 'P 1'
_space_group_IT_number 1
loop_
_space_group_symop_operation_xyz
'x,y,z'
loop_
_atom_site_label
_atom_site_type_symbol
_atom_site_fract_x
_atom_site_fract_y
_atom_site_fract_z
Nb1 Nb 0.5000 0.0000 0.0000
Nb2 Nb 0.0000 0.0000 0.5000
K1 K 0.0000 0.0000 0.0000
Zn1 Zn 0.0000 0.5000 0.0000
Sr1 Sr 0.5000 0.5000 0.5000

No. 15
# K2SrNbZn PBE-GGA relaxed
# DFT total energy, eV per atom: -2.03
# Calculated formation energy, eV per atom: 1.01
data_K2SrNbZn
_cell_length_a 6.5824
_cell_length_b 5.3495
_cell_length_c 6.5824
_cell_angle_alpha 90.00
_cell_angle_beta 90.00
_cell_angle_gamma 90.00
_space_group_name_H-M_alt 'P 1'
_space_group_IT_number 1
loop_
_space_group_symop_operation_xyz
'x,y,z'
loop_
_atom_site_label
_atom_site_type_symbol
_atom_site_fract_x
_atom_site_fract_y
_atom_site_fract_z
Sr1 Sr 0.5000 0.5000 0.5000
K1 K 0.0000 0.0000 0.5000
K2 K 0.5000 0.0000 0.0000
Zn1 Zn 0.0000 0.5000 0.0000
Nb1 Nb 0.0000 0.0000 0.0000

No. 16
# K2TaNb PBE-GGA relaxed
# Polymorph energy (0 for the lowest one), meV per atom: 562
# DFT total energy, eV per atom: -3.68
# Calculated formation energy, eV per atom: 2.35
data_K2TaNb
_cell_length_a 5.6090
_cell_length_b 5.6090
_cell_length_c 5.6090
_cell_angle_alpha 60.00
_cell_angle_beta 60.00
_cell_angle_gamma 60.00
_space_group_name_H-M_alt 'P 1'
_space_group_IT_number 1
loop_
_space_group_symop_operation_xyz
'x,y,z'
loop_
_atom_site_label
_atom_site_type_symbol
_atom_site_fract_x
_atom_site_fract_y
_atom_site_fract_z
Nb1 Nb 0.0000 0.0000 0.0000
K1 K 0.2500 0.2500 0.2500
K2 K 0.7500 0.7500 0.7500
Ta1 Ta 0.5000 0.5000 0.5000

No. 17
# K3TaNb PBE-GGA relaxed
# Polymorph energy (0 for the lowest one), meV per atom: 27
# DFT total energy, eV per atom: -2.18
# Calculated formation energy, eV per atom: 2.86
data_K3TaNb
_cell_length_a 6.1319
_cell_length_b 6.1319
_cell_length_c 6.1319
_cell_angle_alpha 90.00
_cell_angle_beta 90.00
_cell_angle_gamma 90.00
_space_group_name_H-M_alt 'P 1'
_space_group_IT_number 1
loop_
_space_group_symop_operation_xyz
'x,y,z'
loop_
_atom_site_label
_atom_site_type_symbol
_atom_site_fract_x
_atom_site_fract_y
_atom_site_fract_z
Ta1 Ta 0.0000 0.0000 0.0000
K1 K 0.0000 0.0000 0.5000
K2 K 0.5000 0.0000 0.0000
K3 K 0.0000 0.5000 0.0000
Nb1 Nb 0.5000 0.5000 0.5000

No. 18
# K2TaNb PBE-GGA relaxed
# Polymorph energy (0 for the lowest one), meV per atom: 0
# DFT total energy, eV per atom: -4.24
# Calculated formation energy, eV per atom: 1.78
data_K2TaNb
_cell_length_a 12.7372
_cell_length_b 12.7372
_cell_length_c 9.3166
_cell_angle_alpha 46.88
_cell_angle_beta 46.88
_cell_angle_gamma 90.00
_space_group_name_H-M_alt 'P 1'
_space_group_IT_number 1
loop_
_space_group_symop_operation_xyz
'x,y,z'
loop_
_atom_site_label
_atom_site_type_symbol
_atom_site_fract_x
_atom_site_fract_y
_atom_site_fract_z
K1 K 0.8750 0.7289 0.7500
K2 K 0.4789 0.1250 0.2500
K3 K 0.3750 0.5211 0.7500
K4 K 0.2711 0.6250 0.2500
Nb1 Nb 0.2500 0.7500 0.5000
Nb2 Nb 0.5000 0.5000 0.0000
Ta1 Ta 0.7500 0.2500 0.5000
Ta2 Ta 0.0000 0.0000 0.0000

No. 19
# KTaNb3 PBE-GGA relaxed
# Polymorph energy (0 for the lowest one), meV per atom: 0
# DFT total energy, eV per atom: -7.07
# Calculated formation energy, eV per atom: 1.56
data_KTaNb3
_cell_length_a 5.0815
_cell_length_b 5.0815
_cell_length_c 5.0815
_cell_angle_alpha 90.00
_cell_angle_beta 90.00
_cell_angle_gamma 90.00
_space_group_name_H-M_alt 'P 1'
_space_group_IT_number 1
loop_
_space_group_symop_operation_xyz
'x,y,z'
loop_
_atom_site_label
_atom_site_type_symbol
_atom_site_fract_x
_atom_site_fract_y
_atom_site_fract_z
K1 K 0.5000 0.5000 0.5000
Nb1 Nb 0.0000 0.0000 0.5000
Nb2 Nb 0.5000 0.0000 0.0000
Nb3 Nb 0.0000 0.5000 0.0000
Ta1 Ta 0.0000 0.0000 0.0000

No. 20
# K3TaNb PBE-GGA relaxed
# Polymorph energy (0 for the lowest one), meV per atom: 0
# DFT total energy, eV per atom: -2.21
# Calculated formation energy, eV per atom: 2.84
data_K3TaNb
_cell_length_a 5.9282
_cell_length_b 5.9282
_cell_length_c 5.9282
_cell_angle_alpha 90.00
_cell_angle_beta 90.00
_cell_angle_gamma 90.00
_space_group_name_H-M_alt 'P 1'
_space_group_IT_number 1
loop_
_space_group_symop_operation_xyz
'x,y,z'
loop_
_atom_site_label
_atom_site_type_symbol
_atom_site_fract_x
_atom_site_fract_y
_atom_site_fract_z
Ta1 Ta 0.5000 0.5000 0.5000
Nb1 Nb 0.0000 0.0000 0.0000
K1 K 0.0000 0.0000 0.5000
K2 K 0.0000 0.5000 0.0000
K3 K 0.5000 0.0000 0.0000